1.
Entry from Alexandria: an optimized crystal structure of Cs2TbPuO6 (PBE).

Lattice parameters (Å, degrees): 6.232 6.232 8.813 90.00 90.00 90.00
Last column: magnetic moment on the atom in μB.
Atoms (fractional coordinates):
Pu: 0.000 0.750 0.000  1.46
Pu: 0.500 0.250 0.500  1.46
O: 0.232 0.983 0.000  -0.07
O: 0.232 0.518 0.000  -0.07
O: 0.000 0.750 0.768  -0.07
O: 0.268 0.017 0.500  -0.07
O: 0.268 0.482 0.500  -0.07
O: 0.732 0.017 0.500  -0.07
O: 0.000 0.750 0.232  -0.07
O: 0.732 0.482 0.500  -0.07
O: 0.500 0.250 0.732  -0.07
O: 0.500 0.250 0.268  -0.07
O: 0.768 0.518 0.000  -0.07
O: 0.768 0.983 0.000  -0.07
Tb: 0.000 0.750 0.500  -0.03
Tb: 0.500 0.250 0.000  -0.03
Cs: 0.500 0.750 0.250  0.00
Cs: 0.000 0.250 0.750  0.00
Cs: 0.000 0.250 0.250  0.00
Cs: 0.500 0.750 0.750  0.00

Properties
Raw formation energy = -2464 meV/atom

2.
Entry from Alexandria: an optimized crystal structure of LiHgIrPb (PBE).

Lattice parameters (Å, degrees): 4.734 4.734 4.734 60.00 60.00 60.00
Atoms (fractional coordinates):
Pb: 0.250 0.250 0.250
Li: 0.000 0.000 0.000
Hg: 0.750 0.750 0.750
Ir: 0.500 0.500 0.500

Properties
Formation energy = 0.003 eV/atom
Fermi-level density of states = 2.45 states/eV/cell

3.
Entry from Alexandria: an optimized crystal structure of ZrTaNb14 (PBE).

Lattice parameters (Å, degrees): 5.807 5.807 9.354 90.00 90.00 110.24
Atoms (fractional coordinates):
Zr: 0.125 0.875 0.500
Nb: 0.625 0.875 0.500
Nb: 0.875 0.125 0.252
Nb: 0.379 0.128 0.242
Nb: 0.872 0.621 0.758
Nb: 0.375 0.625 0.252
Nb: 0.872 0.621 0.242
Nb: 0.125 0.375 0.500
Nb: 0.875 0.125 0.748
Nb: 0.379 0.128 0.758
Nb: 0.625 0.875 0.000
Nb: 0.375 0.625 0.748
Nb: 0.125 0.375 0.000
Nb: 0.125 0.875 0.000
Nb: 0.625 0.375 0.000
Ta: 0.625 0.375 0.500

Properties
Formation energy = 0.009 eV/atom
Fermi-level density of states = 29.39 states/eV/cell

no.,size of the total moment (μB per cell)
1,2.0
2,0.0
3,0.0